(1)
This record from Alexandria describes an optimized crystal structure of Rb3Tl5Sb2. The functional is PBE-GGA.

As for the total magnetization: 0.000 μB/f.u. The calculation puts the mass density at 6.30 g cm⁻³.

It has space group Ibam (No. 72), with a = 13.105 Å, b = 16.041 Å, c = 7.633 Å, α = 90.00°, β = 90.00° and γ = 90.00°. The inequivalent atoms are Rb at (0.000, 0.000, 0.250), Rb at (0.245, 0.366, 0.000), Tl at (0.000, 0.257, 0.250), Tl at (0.000, 0.500, 0.250), Tl at (0.134, 0.380, 0.500) and Sb at (0.142, 0.150, 0.000).

(2)
This record from Alexandria describes an optimized crystal structure of LiPr2NpRh6. The functional is PBE-GGA.

As for the total magnetization: 0.000 μB/f.u. As for the energy of formation: -2.81 eV/f.u. The calculation puts the mass density at 9.80 g cm⁻³.

It has space group R-3m (No. 166, hexagonal axes), with a = 6.1463 Å, b = 6.1463 Å, c = 17.7560 Å, α = 90.00°, β = 90.00° and γ = 120.00°. The inequivalent atoms are Li at (0.0000, 0.0000, 0.0000), Pr at (0.0000, 0.0000, 0.2306), Np at (0.0000, 0.0000, 0.5000) and Rh at (0.0238, 0.5119, 0.2678).

(3)
This record from Alexandria describes an optimized crystal structure of La2VBi. The functional is PBE-GGA.

As for the total magnetization: 3.514 μB/f.u. As for the energy of formation: 0.62 eV/f.u. The calculation puts the mass density at 7.54 g cm⁻³.

It has space group I-42d (No. 122), with a = 8.522 Å, b = 8.522 Å, c = 6.522 Å, α = 90.00°, β = 90.00° and γ = 90.00°. The inequivalent atoms are La at (0.212, 0.750, 0.125), V at (0.000, 0.000, 0.000) and Bi at (0.000, 0.000, 0.500).

| no. | total energy (eV per atom) |
| --- | --- |
| 1 | -2.4675 |
| 2 | -7.1328 |
| 3 | -5.5598 |